## TiVTcO6 (PBE+U)

Data for crystalline TiVTcO6 at its relaxed geometry.

Results
Energy   -8.20 eV per atom
Spin magnetization   4.0 μB per formula unit
DOS at the Fermi energy   5.87 states/eV/cell

Geometry as POSCAR:
```
TiVTcO6
1.0
-4.245 1.125 2.411
1.404 -4.783 -0.501
4.442 0.510 7.582
O Ti V Tc
12 2 2 2
Cartesian
2.425 -3.548 7.729
0.703 -0.983 3.456
4.791 -2.785 6.291
-1.211 0.915 4.449
0.898 -2.165 6.037
-1.365 -2.375 2.268
-0.824 0.401 1.764
-1.620 -1.895 4.878
-3.190 -0.363 3.201
2.812 -4.062 5.043
2.966 -0.773 7.225
3.221 -1.252 4.614
2.852 -2.431 6.156
-1.251 -0.717 3.336
0.632 -2.686 2.365
0.969 -0.461 7.127
0.000 0.000 0.000
2.221 0.255 3.791
```